# CoPH2Br

A relaxed structure of CoPH2Br (PBE, Alexandria).

Summary:
Fermi-level density of states = 0.44 states/eV/atom
distance to the lowest polymorph of the same formula = 0.0912 eV/atom

The structure in extended XYZ format:
```
5
Lattice="-1.976 1.878 1.346 -3.285 -1.169 0.259 0.173 -2.445 6.855" Properties=species:S:1:pos:R:3 pbc="T T T"
Co -3.282 -0.489 4.228
P -0.130 -0.652 2.199
H -0.431 -0.055 0.932
H -1.851 -1.269 3.994
Br -2.836 -1.497 6.297
```